Record 1
A geometry-optimized ThMgTcGe2 structure, computed with GGA-PBE.

Lattice parameters (Å, degrees): 4.118 4.118 6.481 108.52 108.52 90.00
Each line ends with the local moment (μB).
Fractional coordinates of all 5 atoms:
Th 0.000 0.000 0.000  0.00
Mg 0.750 0.250 0.500  0.00
Tc 0.250 0.750 0.500  0.49
Ge 0.611 0.611 0.222  0.00
Ge 0.389 0.389 0.778  0.00

Calculated values
* SG: I-4m2
* E_tot: -30.56 eV per cell
* energy relative to the elements: -37.59 kJ per mole of atoms

Record 2
A geometry-optimized LiThCd17 structure, computed with GGA-PBE.

Lattice parameters (Å, degrees): 7.712 7.712 7.712 81.70 81.70 81.70
Fractional coordinates of all 19 atoms:
Li 0.400 0.400 0.400
Th 0.665 0.665 0.665
Cd 0.300 0.001 0.690
Cd 0.690 0.300 0.001
Cd 0.001 0.690 0.300
Cd 0.300 0.690 0.001
Cd 0.001 0.300 0.690
Cd 0.690 0.001 0.300
Cd 0.365 0.810 0.365
Cd 0.365 0.365 0.810
Cd 0.810 0.365 0.365
Cd 0.649 0.134 0.649
Cd 0.649 0.649 0.134
Cd 0.134 0.649 0.649
Cd 0.009 0.480 0.009
Cd 0.009 0.009 0.480
Cd 0.480 0.009 0.009
Cd 0.893 0.893 0.893
Cd 0.090 0.090 0.090

Calculated values
* SG: R3m
* E_tot: -25.72 eV per cell
* energy relative to the elements: -4.20 kJ per mole of atoms

Record 3
A geometry-optimized KNpRhS3 structure, computed with GGA-PBE.

Lattice parameters (Å, degrees): 3.981 8.628 9.176 106.91 90.00 90.00
Each line ends with the local moment (μB).
Fractional coordinates of all 12 atoms:
K 0.250 0.198 0.240  0.00
K 0.750 0.802 0.760  0.00
Np 0.250 0.677 0.156  3.32
Np 0.750 0.323 0.844  3.32
Rh 0.250 0.085 0.592  0.01
Rh 0.750 0.915 0.408  0.01
S 0.750 0.874 0.137  -0.09
S 0.250 0.126 0.863  -0.09
S 0.250 0.797 0.458  -0.05
S 0.750 0.203 0.542  -0.05
S 0.750 0.457 0.153  -0.10
S 0.250 0.543 0.847  -0.10

Calculated values
* SG: P2_1/m
* E_tot: -80.56 eV per cell

Record 4
A geometry-optimized Al3HgF structure, computed with GGA-PBE.

Lattice parameters (Å, degrees): 5.132 5.132 5.132 90.00 90.00 90.00
Fractional coordinates of all 5 atoms:
F 0.500 0.500 0.500
Hg 0.000 0.000 0.000
Al 0.000 0.500 0.000
Al 0.000 0.000 0.500
Al 0.500 0.000 0.000

Calculated values
* SG: Pm-3m
* E_tot: -11.90 eV per cell
* relative energy among the computed polymorphs: 0.468 eV/atom

Record 5
A geometry-optimized CsKCa2Hg structure, computed with GGA-PBE.

Lattice parameters (Å, degrees): 6.105 6.105 7.088 90.00 90.00 90.00
Fractional coordinates of all 5 atoms:
Cs 0.500 0.500 0.500
Ca 0.000 0.500 0.000
Ca 0.500 0.000 0.000
K 0.000 0.000 0.500
Hg 0.000 0.000 0.000

Calculated values
* SG: P4/mmm
* E_tot: -6.47 eV per cell
* energy relative to the elements: -4.18 kJ per mole of atoms

Record 6
A geometry-optimized AgAu2S2 structure, computed with GGA-PBE.

Lattice parameters (Å, degrees): 4.381 4.381 6.881 90.00 90.00 90.00
Fractional coordinates of all 5 atoms:
Ag 0.000 0.000 0.000
Au 0.500 0.500 0.699
Au 0.500 0.500 0.301
S 0.500 0.000 0.198
S 0.000 0.500 0.802

Calculated values
* SG: P-4m2
* E_tot: -16.93 eV per cell
* relative energy among the computed polymorphs: 0.109 eV/atom